(1)
{"formula": "YZnPdF2", "functional": "PBE", "state": "relaxed", "cell": [[3.898, 0.000, 0.000], [0.000, 3.898, 0.000], [0.000, 0.000, 8.154]], "species": ["Y", "Zn", "Pd", "F", "F"], "frac_coords": [[0.000, 0.000, 0.000], [0.000, 0.000, 0.500], [0.500, 0.500, 0.000], [0.000, 0.500, 0.500], [0.500, 0.000, 0.500]], "total_energy_ev_per_atom": -4.4643, "total_magnetization_mub_per_atom": 0.000}

---

(2)
{"formula": "NaIn2Si2", "functional": "PBE", "state": "relaxed", "cell": [[-2.307, 2.307, 5.809], [2.307, -2.307, 5.809], [2.307, 2.307, -5.809]], "species": ["Na", "In", "In", "Si", "Si"], "frac_coords": [[0.000, 0.000, 0.000], [0.378, 0.378, 0.000], [0.622, 0.622, 0.000], [0.250, 0.750, 0.500], [0.750, 0.250, 0.500]], "total_energy_ev_per_atom": -3.3052, "total_magnetization_mub_per_atom": 0.000}

---

(3)
{"formula": "AcTb6PmHo2", "functional": "PBE", "state": "relaxed", "cell": [[4.626, -7.646, 0.000], [4.626, 7.646, 0.000], [-0.898, 0.000, 9.567]], "species": ["Ac", "Ac", "Tb", "Tb", "Tb", "Tb", "Tb", "Tb", "Tb", "Tb", "Tb", "Tb", "Tb", "Tb", "Pm", "Pm", "Ho", "Ho", "Ho", "Ho"], "frac_coords": [[0.031, 0.969, 0.750], [0.969, 0.031, 0.250], [0.018, 0.556, 0.679], [0.124, 0.749, 0.057], [0.251, 0.876, 0.443], [0.290, 0.510, 0.883], [0.444, 0.982, 0.821], [0.490, 0.710, 0.617], [0.510, 0.290, 0.383], [0.556, 0.018, 0.179], [0.710, 0.490, 0.117], [0.749, 0.124, 0.557], [0.876, 0.251, 0.943], [0.982, 0.444, 0.321], [0.410, 0.590, 0.250], [0.590, 0.410, 0.750], [0.199, 0.312, 0.548], [0.312, 0.199, 0.048], [0.688, 0.801, 0.952], [0.801, 0.688, 0.452]], "total_energy_ev_per_atom": -4.4502, "formation_enthalpy_0k_ev_per_atom": 0.13, "total_magnetization_mub_per_atom": 0.000}

---

(4)
{"formula": "MnSbAs2Br", "functional": "PBE", "state": "relaxed", "cell": [[4.921, 0.000, 0.000], [0.000, 4.921, 0.000], [0.000, 0.000, 4.816]], "species": ["Mn", "Sb", "As", "As", "Br"], "frac_coords": [[0.000, 0.000, 0.000], [0.500, 0.500, 0.500], [0.000, 0.500, 0.000], [0.500, 0.000, 0.000], [0.000, 0.000, 0.500]], "total_energy_ev_per_atom": -4.5057, "polymorph_energy_ev_per_atom": 0.000, "total_magnetization_mub_per_atom": 0.661}

---

(5)
{"formula": "HfTaNbOs", "functional": "PBE", "state": "relaxed", "cell": [[3.238, 0.000, 0.000], [0.000, 3.238, 0.000], [0.000, 0.000, 6.787]], "species": ["Hf", "Ta", "Nb", "Os"], "frac_coords": [[0.000, 0.000, 0.000], [0.000, 0.000, 0.522], [0.500, 0.500, 0.267], [0.500, 0.500, 0.751]], "total_energy_ev_per_atom": -11.0554, "formation_enthalpy_0k_ev_per_atom": -0.28, "polymorph_energy_ev_per_atom": 0.008, "total_magnetization_mub_per_atom": 0.000}

---

(6)
{"formula": "Ca3ZnPd3", "functional": "PBE", "state": "relaxed", "cell": [[2.132, -5.280, 0.000], [2.132, 5.280, 0.000], [0.000, 0.000, 13.983]], "species": ["Ca", "Ca", "Ca", "Ca", "Ca", "Ca", "Zn", "Zn", "Pd", "Pd", "Pd", "Pd", "Pd", "Pd"], "frac_coords": [[0.013, 0.987, 0.750], [0.292, 0.708, 0.604], [0.292, 0.708, 0.896], [0.708, 0.292, 0.104], [0.708, 0.292, 0.396], [0.987, 0.013, 0.250], [0.000, 0.000, 0.000], [0.000, 0.000, 0.500], [0.277, 0.723, 0.250], [0.421, 0.579, 0.087], [0.421, 0.579, 0.413], [0.579, 0.421, 0.587], [0.579, 0.421, 0.913], [0.723, 0.277, 0.750]], "total_energy_ev_per_atom": -3.9545, "formation_enthalpy_0k_ev_per_atom": -0.69, "total_magnetization_mub_per_atom": 0.000}